Record 1
CaY2TmSe4: relaxed, PBE.

```
CaY2TmSe4
1.0
4.0724 0.0000 0.0000
0.0000 7.0742 0.1362
0.0000 -2.4575 6.6680
Ca Y Tm Se
1 2 1 4
Direct
0.0000 0.0000 0.0000
0.5000 0.0000 0.5000
0.0000 0.5000 0.5000
0.5000 0.5000 0.0000
0.5000 0.2534 0.2486
0.5000 0.7466 0.7514
0.0000 0.2544 0.7548
0.0000 0.7456 0.2452
```

Properties
Space group: No. 10
Crystal system: monoclinic
Formation energy (no corrections) (meV/atom): -1794
Calculated density (g cm⁻³): 6.0

=====

Record 2
CaY4TmSe8: relaxed, PBE.

```
CaY4TmSe8
1.0
-7.0675 -3.3037 3.2597
0.0021 -3.0392 7.8901
-4.1514 4.0850 6.1049
Ca Y Tm Se
1 4 1 8
Direct
0.3753 0.3753 0.8740
0.6245 0.6245 0.1264
0.0021 0.4939 0.5020
0.4939 0.0021 0.5020
0.0021 0.0021 0.5020
0.0023 0.0023 0.9932
0.2378 0.7803 0.7440
0.7803 0.2378 0.7440
0.2378 0.2378 0.7440
0.2404 0.2404 0.2789
0.7607 0.2246 0.2541
0.2246 0.7607 0.2541
0.7607 0.7607 0.2541
0.7576 0.7576 0.7272
```

Properties
Space group: No. 160
Crystal system: trigonal
Formation energy (no corrections) (meV/atom): -1806
Calculated density (g cm⁻³): 4.7

=====

Record 3
CaUSe2: relaxed, PBE.

```
CaUSe2
1.0
3.9444 0.0000 0.0000
1.9722 3.4160 0.0000
1.9722 1.1387 7.4885
Ca U Se
1 1 2
Direct
0.4967 0.4967 0.5098
0.6687 0.6687 0.9938
0.0833 0.0833 0.7502
0.2513 0.2513 0.2462
```

Properties
Space group: No. 160
Crystal system: trigonal
Formation energy (no corrections) (meV/atom): -1326
Calculated density (g cm⁻³): 7.2
ΔE to the lowest computed polymorph (meV per atom): 82

=====

Record 4
Ca5USe8: relaxed, PBE.

```
Ca5USe8
1.0
7.2484 0.0000 -2.4613
-3.6313 6.2183 -2.5968
0.0141 0.0000 7.6549
Ca U Se
5 1 8
Direct
0.9941 0.3839 0.1311
0.8689 0.8630 0.2528
0.7472 0.6161 0.6102
0.5000 0.0000 0.5000
0.3898 0.1370 0.0059
0.2500 0.5000 0.7500
0.1286 0.7373 0.9956
0.0044 0.1330 0.7417
0.7790 0.2500 0.3841
0.6159 0.3949 0.8659
0.4710 0.6051 0.2210
0.6087 0.8670 0.8714
0.2583 0.2627 0.3913
0.1341 0.7500 0.5290
```

Properties
Space group: No. 82
Crystal system: tetragonal
Formation energy (no corrections) (meV/atom): -1593
Calculated density (g cm⁻³): 5.1

=====

Record 5
CaUSe2: relaxed, PBE.

```
CaUSe2
1.0
-3.2506 -1.9779 1.3329
-1.2251 -3.3555 -1.8693
2.6346 -5.6716 4.1065
Ca U Se
1 1 2
Direct
0.0000 0.0000 0.0000
0.5000 0.5000 0.5000
0.7493 0.7493 0.7521
0.2507 0.2507 0.2479
```

Properties
Space group: No. 166
Crystal system: trigonal
Formation energy (no corrections) (meV/atom): -1408
Calculated density (g cm⁻³): 7.2
ΔE to the lowest computed polymorph (meV per atom): 0

=====

Record 6
CaU4Se8: relaxed, PBE.

```
CaU4Se8
1.0
7.4555 0.0000 3.4000
2.9525 6.8459 3.4000
0.6815 0.4482 8.3798
Ca U Se
1 4 8
Direct
0.5000 0.5000 0.5000
0.0000 0.5000 0.0000
0.5000 0.5000 0.0000
0.5000 0.0000 0.0000
0.0000 0.0000 0.0000
0.7441 0.2456 0.7648
0.7544 0.2559 0.2352
0.2559 0.7544 0.2352
0.7544 0.7544 0.2352
0.7411 0.7411 0.7768
0.2589 0.2589 0.2232
0.2456 0.2456 0.7648
0.2456 0.7441 0.7648
```

Properties
Space group: No. 166
Crystal system: trigonal
Formation energy (no corrections) (meV/atom): -1258
Calculated density (g cm⁻³): 6.7

=====

Record 7
Ca2USe4: relaxed, PBE.

```
Ca2USe4
1.0
4.2345 0.0000 0.0000
0.0000 7.3869 0.0000
0.0000 0.0000 12.5545
Ca U Se
4 2 8
Direct
0.5000 0.9077 0.8162
0.5000 0.0923 0.1838
0.5000 0.4077 0.6838
0.5000 0.5923 0.3162
0.0000 0.0000 0.5000
0.0000 0.5000 0.0000
0.0000 0.6279 0.7890
0.0000 0.3721 0.2110
0.0000 0.1279 0.7110
0.0000 0.8721 0.2890
0.5000 0.7507 0.5432
0.5000 0.2493 0.4568
0.5000 0.7493 0.0432
0.5000 0.2507 0.9568
```

Properties
Space group: No. 55
Crystal system: orthorhombic
Formation energy (no corrections) (meV/atom): -1603
Calculated density (g cm⁻³): 5.4

=====

Record 8
Ca2U3Se8: relaxed, PBE.

```
Ca2U3Se8
1.0
-4.3588 -3.0091 -4.6858
2.9387 -7.5008 2.0832
-4.8544 4.2096 5.3872
Ca U Se
2 3 8
Direct
0.6578 0.7360 0.4720
0.3422 0.2640 0.5280
0.5000 0.0000 0.0000
0.0000 0.2579 0.0000
0.0000 0.7421 0.0000
0.0758 0.3855 0.7710
0.9242 0.6145 0.2290
0.0869 0.8874 0.7749
0.9131 0.1126 0.2251
0.4058 0.8834 0.2358
0.4058 0.3524 0.2358
0.5942 0.6476 0.7642
0.5942 0.1166 0.7642
```

Properties
Space group: No. 12
Crystal system: monoclinic
Formation energy (no corrections) (meV/atom): -1358
Calculated density (g cm⁻³): 5.8

=====

Record 9
Ca2UZnSe5: relaxed, PBE.

```
Ca2UZnSe5
1.0
-1.8003 -1.2696 -3.4285
0.0040 -7.5373 5.2110
-11.2628 3.2506 4.7104
Ca U Zn Se
4 2 2 10
Direct
0.8816 0.7633 0.8200
0.1055 0.2111 0.6781
0.1184 0.2367 0.3200
0.8945 0.7889 0.1781
0.7937 0.5873 0.5204
0.2063 0.4127 0.0204
0.5576 0.1152 0.9404
0.4424 0.8848 0.4404
0.3625 0.7251 0.0049
0.6928 0.3856 0.8634
0.4988 0.9975 0.7700
0.2902 0.5803 0.6755
0.9499 0.8998 0.5513
0.6375 0.2749 0.5049
0.3072 0.6144 0.3634
0.5012 0.0025 0.2700
0.7098 0.4197 0.1755
0.0501 0.1002 0.0513
```

Properties
Space group: No. 36
Crystal system: orthorhombic
Formation energy (no corrections) (meV/atom): -1366
Calculated density (g cm⁻³): 5.6

=====

Record 10
CaVSe3: relaxed, PBE.

```
CaVSe3
1.0
-5.2488 0.3854 -1.0514
-0.4024 -5.3516 0.0471
-1.0450 0.1249 5.2627
Ca Se V
1 3 1
Direct
0.0000 0.0000 0.0000
0.0000 0.5000 0.0000
0.0000 0.0000 0.5000
0.5000 0.0000 0.0000
0.5000 0.5000 0.5000
```

Properties
Space group: No. 221
Crystal system: cubic
Formation energy (no corrections) (meV/atom): 335
Calculated density (g cm⁻³): 3.5
ΔE to the lowest computed polymorph (meV per atom): 1135

=====

Record 11
CaV3Se: relaxed, PBE.

```
CaV3Se
1.0
4.5085 0.0000 0.0000
0.0000 4.5085 0.0000
0.0000 0.0000 4.5085
Ca Se V
1 1 3
Direct
0.0000 0.0000 0.0000
0.5000 0.5000 0.5000
0.0000 0.5000 0.0000
0.0000 0.0000 0.5000
0.5000 0.0000 0.0000
```

Properties
Space group: No. 221
Crystal system: cubic
Formation energy (no corrections) (meV/atom): 2183
Calculated density (g cm⁻³): 4.9
ΔE to the lowest computed polymorph (meV per atom): 1667

=====

Record 12
CaVSe2: relaxed, PBE.

```
CaVSe2
1.0
6.1560 0.0000 0.0000
0.0000 6.1560 0.0000
3.0780 3.0780 6.1715
Ca Se V
2 4 2
Direct
0.5000 0.5000 0.0000
0.2500 0.7500 0.5000
0.6733 0.1250 0.2500
0.0767 0.6250 0.2500
0.3750 0.3267 0.7500
0.8750 0.9233 0.7500
0.0000 0.0000 0.0000
0.7500 0.2500 0.5000
```

Properties
Space group: No. 122
Crystal system: tetragonal
Formation energy (no corrections) (meV/atom): -960
Calculated density (g cm⁻³): 3.5
ΔE to the lowest computed polymorph (meV per atom): 0